Nd2Sm5Bi4: optimized geometry, PBE-GGA.

a = 4.5427 Å, b = 8.4203 Å, c = 13.7032 Å
α = 133.60°, β = 99.54°, γ = 90.00°
Fractional positions:
1 Bi 0.3375 0.5622 0.6751
2 Bi 0.9978 0.2714 0.9957
3 Bi 0.0022 0.7286 0.0043
4 Bi 0.6625 0.4378 0.3249
5 Nd 0.8315 0.8187 0.6630
6 Nd 0.1685 0.1813 0.3370
7 Sm 0.7892 0.2148 0.5785
8 Sm 0.4157 0.3199 0.8314
9 Sm 0.2108 0.7852 0.4215
10 Sm 0.5843 0.6801 0.1686
11 Sm 0.5000 0.0000 0.0000

N(E_F) = 9.20 states/eV/f.u.
ΔH_f (0 K) = -6.26 eV per formula unit
uncorrected energy = -4.992 eV/atom

Li2NbCu2: optimized geometry, PBE-GGA.

a = 7.2214 Å, b = 7.2214 Å, c = 2.5889 Å
α = 90.00°, β = 90.00°, γ = 90.00°
Fractional positions:
1 Nb 0.0000 0.0000 0.0000
2 Nb 0.5000 0.5000 0.0000
3 Li 0.1142 0.3858 0.0000
4 Li 0.6142 0.1142 0.0000
5 Li 0.8858 0.6142 0.0000
6 Li 0.3858 0.8858 0.0000
7 Cu 0.1873 0.6873 0.5000
8 Cu 0.6873 0.8127 0.5000
9 Cu 0.3127 0.1873 0.5000
10 Cu 0.8127 0.3127 0.5000

excess energy over the best structure of this formula in the dataset = 0.0000 eV per atom
N(E_F) = 2.80 states/eV/f.u.
ΔH_f (0 K) = 0.62 eV per formula unit
uncorrected energy = -4.295 eV/atom

YCd3Pt: optimized geometry, PBE-GGA.

a = 5.1340 Å, b = 5.1340 Å, c = 5.1340 Å
α = 90.00°, β = 90.00°, γ = 90.00°
Fractional positions:
1 Y 0.5000 0.5000 0.5000
2 Cd 0.0000 0.0000 0.5000
3 Cd 0.0000 0.5000 0.0000
4 Cd 0.5000 0.0000 0.0000
5 Pt 0.0000 0.0000 0.0000

excess energy over the best structure of this formula in the dataset = 0.0000 eV per atom
N(E_F) = 4.51 states/eV/f.u.
ΔH_f (0 K) = -0.11 eV per formula unit
uncorrected energy = -3.072 eV/atom

CsLiAg2Sn: optimized geometry, PBE-GGA.

a = 5.4287 Å, b = 5.4287 Å, c = 5.4725 Å
α = 90.00°, β = 90.00°, γ = 90.00°
Fractional positions:
1 Li 0.0000 0.0000 0.5000
2 Sn 0.0000 0.0000 0.0000
3 Cs 0.5000 0.5000 0.5000
4 Ag 0.0000 0.5000 0.0000
5 Ag 0.5000 0.0000 0.0000

N(E_F) = 0.43 states/eV/f.u.
ΔH_f (0 K) = -0.24 eV per formula unit
uncorrected energy = -2.542 eV/atom

ScP2Rh: optimized geometry, PBE-GGA.

a = 5.3017 Å, b = 5.3017 Å, c = 5.3017 Å
α = 140.09°, β = 140.09°, γ = 57.72°
Fractional positions:
1 P 0.0000 0.0000 0.0000
2 P 0.2500 0.7500 0.5000
3 Rh 0.5000 0.5000 0.0000
4 Sc 0.7500 0.2500 0.5000

excess energy over the best structure of this formula in the dataset = 0.3158 eV per atom
N(E_F) = 3.23 states/eV/f.u.
ΔH_f (0 K) = -2.42 eV per formula unit
uncorrected energy = -6.731 eV/atom

Ho7TlGa5: optimized geometry, PBE-GGA.

a = 6.2167 Å, b = 7.8394 Å, c = 7.8394 Å
α = 79.85°, β = 66.64°, γ = 66.64°
Fractional positions:
1 Ho 0.2904 0.7096 0.7096
2 Ho 0.9946 0.6830 0.3279
3 Ho 0.5222 0.1575 0.7982
4 Ho 0.9946 0.3279 0.6830
5 Ho 0.2738 0.2262 0.2262
6 Ho 0.5222 0.7982 0.1575
7 Ho 0.6495 0.3505 0.3505
8 Ga 0.9998 0.4918 0.0000
9 Ga 0.5084 0.4918 0.0000
10 Ga 0.9998 0.0000 0.4918
11 Ga 0.5084 0.0000 0.4918
12 Ga 0.7614 0.7386 0.7386
13 Tl 0.9750 0.0250 0.0250

N(E_F) = 8.85 states/eV/f.u.
ΔH_f (0 K) = -4.78 eV per formula unit
uncorrected energy = -4.179 eV/atom

BaSc2Hg: optimized geometry, PBE-GGA.

a = 5.9156 Å, b = 5.9156 Å, c = 5.9156 Å
α = 131.56°, β = 131.56°, γ = 70.92°
Fractional positions:
1 Sc 0.2500 0.7500 0.5000
2 Sc 0.0000 0.0000 0.0000
3 Hg 0.7500 0.2500 0.5000
4 Ba 0.5000 0.5000 0.0000

N(E_F) = 5.69 states/eV/f.u.
ΔH_f (0 K) = 0.61 eV per formula unit
uncorrected energy = -3.569 eV/atom

Pm8Te3Se3N: optimized geometry, PBE-GGA.

a = 8.4399 Å, b = 8.4404 Å, c = 8.6790 Å
α = 119.09°, β = 90.00°, γ = 120.00°
Fractional positions:
1 N 0.0000 0.0000 0.5000
2 Se 0.5000 0.5000 0.5000
3 Se 0.0000 0.5000 0.5000
4 Se 0.5000 0.0000 0.5000
5 Te 0.0000 0.5000 0.0000
6 Te 0.5000 0.5000 0.0000
7 Te 0.0000 0.0000 0.0000
8 Pm 0.7912 0.0127 0.3038
9 Pm 0.2088 0.4177 0.6962
10 Pm 0.7390 0.4780 0.7169
11 Pm 0.2088 0.9873 0.6962
12 Pm 0.2215 0.0127 0.3038
13 Pm 0.7912 0.5823 0.3038
14 Pm 0.7785 0.9873 0.6962
15 Pm 0.2610 0.5220 0.2831

energy relative to the elements, uncorrected = -1.447 eV/atom
N(E_F) = 8.41 states/eV/f.u.
uncorrected energy = -5.861 eV/atom

Ca4TcAu: optimized geometry, PBE-GGA.

a = 6.1889 Å, b = 6.1889 Å, c = 6.1889 Å
α = 60.00°, β = 60.00°, γ = 60.00°
Each line ends with the local moment (μB).
Fractional positions:
1 Ca 0.3758 0.3758 0.3758  -0.08
2 Ca 0.3758 0.8726 0.3758  -0.08
3 Ca 0.8726 0.3758 0.3758  -0.08
4 Ca 0.3758 0.3758 0.8726  -0.08
5 Tc 0.7500 0.7500 0.7500  2.15
6 Au 0.0000 0.0000 0.0000  0.00

N(E_F) = 9.83 states/eV/f.u.
ΔH_f (0 K) = 5.19 eV per formula unit
uncorrected energy = -2.743 eV/atom

AlRh2Br: optimized geometry, PBE-GGA.

a = 5.2653 Å, b = 5.2653 Å, c = 5.2653 Å
α = 147.78°, β = 121.60°, γ = 68.28°
Fractional positions:
1 Br 0.2500 0.7500 0.5000
2 Rh 0.9875 0.9875 0.0000
3 Rh 0.5125 0.5125 0.0000
4 Al 0.7500 0.2500 0.5000

excess energy over the best structure of this formula in the dataset = 0.3859 eV per atom
energy relative to the elements, uncorrected = 0.069 eV/atom
N(E_F) = 3.47 states/eV/f.u.
uncorrected energy = -4.960 eV/atom

K2CdPtCl: optimized geometry, PBE-GGA.

a = 6.5785 Å, b = 5.1882 Å, c = 6.5785 Å
α = 90.00°, β = 90.00°, γ = 90.00°
Each line ends with the local moment (μB).
Fractional positions:
1 K 0.5000 0.0000 0.0000  0.00
2 K 0.0000 0.0000 0.5000  0.00
3 Cl 0.0000 0.5000 0.0000  0.00
4 Pt 0.5000 0.5000 0.5000  0.55
5 Cd 0.0000 0.0000 0.0000  0.00

energy relative to the elements, uncorrected = 0.215 eV/atom
N(E_F) = 32.69 states/eV/f.u.
uncorrected energy = -1.985 eV/atom

S4ClO: optimized geometry, PBE-GGA.

a = 8.9724 Å, b = 11.0154 Å, c = 11.0151 Å
α = 159.12°, β = 91.03°, γ = 91.04°
Fractional positions:
1 S 0.1908 0.7637 0.3222
2 S 0.1810 0.9619 0.8836
3 S 0.6810 0.3836 0.4619
4 S 0.8190 0.0381 0.1164
5 S 0.6908 0.8222 0.2637
6 S 0.3190 0.6164 0.5381
7 S 0.3092 0.1778 0.7363
8 S 0.8092 0.2363 0.6778
9 O 0.7500 0.7590 0.7410
10 O 0.2500 0.2410 0.2590
11 Cl 0.2500 0.5757 0.9243
12 Cl 0.7500 0.4243 0.0757

energy relative to the elements, uncorrected = 0.040 eV/atom
N(E_F) = 1.03 states/eV/f.u.
uncorrected energy = -3.846 eV/atom